Here is a geometry-optimized YHfN structure from Alexandria via LeMat-Bulk. Energies are from GGA-PBE.

Properties
* space group: No. 156
* total magnetic moment: 0.3 μB/cell
* final energy: -9.31 eV/atom
* N(E_F): 2.135 states/eV/f.u.
* formation energy (no corrections): -1.06 eV per atom

Cell lengths 3.350, 3.350, 5.597 Å; angles 90.00, 90.00, 120.00 degrees
Positions (direct):
Y 0.000 0.000 0.000
Hf 0.667 0.333 0.535
N 0.333 0.667 0.735

Here is a geometry-optimized YHf2N2 structure from Alexandria via LeMat-Bulk. Energies are from GGA-PBE.

Properties
* space group: No. 139
* total magnetic moment: 0.0 μB/cell
* polymorph energy (0 for the lowest one): 0 meV per atom
* final energy: -9.67 eV/atom
* N(E_F): 3.322 states/eV/f.u.
* formation energy (no corrections): -1.06 eV per atom

Cell lengths 6.444, 6.444, 6.444 Å; angles 141.63, 141.63, 55.38 degrees
Positions (direct):
Y 0.000 0.000 0.000
Hf 0.250 0.750 0.500
Hf 0.750 0.250 0.500
N 0.207 0.207 0.000
N 0.793 0.793 0.000

Here is a geometry-optimized Y2HfN3 structure from Alexandria via LeMat-Bulk. Energies are from GGA-PBE.

Properties
* space group: No. 139
* total magnetic moment: 0.0 μB/cell
* final energy: -9.68 eV/atom
* N(E_F): 1.238 states/eV/f.u.
* formation energy (no corrections): -1.70 eV per atom

Cell lengths 7.538, 7.538, 7.538 Å; angles 154.05, 154.05, 37.03 degrees
Positions (direct):
Y 0.165 0.165 0.000
Y 0.835 0.835 0.000
Hf 0.500 0.500 0.000
N 0.000 0.000 0.000
N 0.343 0.343 0.000
N 0.657 0.657 0.000

Here is a geometry-optimized Y2HfN2 structure from Alexandria via LeMat-Bulk. Energies are from GGA-PBE.

Properties
* space group: No. 139
* total magnetic moment: 0.0 μB/cell
* polymorph energy (0 for the lowest one): 0 meV per atom
* final energy: -8.83 eV/atom
* N(E_F): 2.352 states/eV/f.u.
* formation energy (no corrections): -0.92 eV per atom

Cell lengths 6.199, 6.199, 6.199 Å; angles 136.17, 136.17, 63.72 degrees
Positions (direct):
Y 0.250 0.750 0.500
Y 0.750 0.250 0.500
Hf 0.000 0.000 0.000
N 0.194 0.194 0.000
N 0.806 0.806 0.000

Here is a geometry-optimized Y3HfN structure from Alexandria via LeMat-Bulk. Energies are from GGA-PBE.

Properties
* space group: No. 221
* total magnetic moment: 1.7 μB/cell
* polymorph energy (0 for the lowest one): 2143 meV per atom
* final energy: -5.82 eV/atom
* N(E_F): 4.547 states/eV/f.u.
* formation energy (no corrections): 1.71 eV per atom

Cell lengths 5.559, 5.559, 5.559 Å; angles 90.00, 90.00, 90.00 degrees
Positions (direct):
Y 0.000 0.000 0.500
Y 0.000 0.500 0.000
Y 0.500 0.000 0.000
Hf 0.000 0.000 0.000
N 0.500 0.500 0.500

Here is a geometry-optimized Y5HfN6 structure from Alexandria via LeMat-Bulk. Energies are from GGA-PBE.

Properties
* space group: No. 12
* total magnetic moment: 0.0 μB/cell
* final energy: -9.42 eV/atom
* N(E_F): 1.734 states/eV/f.u.
* formation energy (no corrections): -1.74 eV per atom

Cell lengths 5.931, 5.931, 5.930 Å; angles 99.61, 99.61, 119.97 degrees
Positions (direct):
Y 0.000 0.000 0.000
Y 0.167 0.833 0.500
Y 0.334 0.666 0.000
Y 0.666 0.334 0.000
Y 0.833 0.167 0.500
Hf 0.500 0.500 0.500
N 0.104 0.420 0.260
N 0.264 0.264 0.740
N 0.420 0.104 0.260
N 0.580 0.896 0.740
N 0.736 0.736 0.260
N 0.896 0.580 0.740

Here is a geometry-optimized YHf5N6 structure from Alexandria via LeMat-Bulk. Energies are from GGA-PBE.

Properties
* space group: No. 12
* total magnetic moment: 0.0 μB/cell
* final energy: -10.59 eV/atom
* N(E_F): 4.449 states/eV/f.u.
* formation energy (no corrections): -1.74 eV per atom

Cell lengths 5.620, 5.620, 5.628 Å; angles 99.49, 99.49, 120.06 degrees
Positions (direct):
Y 0.000 0.000 0.000
Hf 0.166 0.834 0.500
Hf 0.333 0.667 0.000
Hf 0.500 0.500 0.500
Hf 0.667 0.333 0.000
Hf 0.834 0.166 0.500
N 0.087 0.430 0.260
N 0.259 0.259 0.745
N 0.430 0.087 0.260
N 0.570 0.913 0.740
N 0.741 0.741 0.255
N 0.913 0.570 0.740

Here is a geometry-optimized YHf2N2 structure from Alexandria via LeMat-Bulk. Energies are from GGA-PBE.

Properties
* space group: No. 127
* total magnetic moment: 0.0 μB/cell
* polymorph energy (0 for the lowest one): 607 meV per atom
* final energy: -9.06 eV/atom
* N(E_F): 3.154 states/eV/f.u.
* formation energy (no corrections): -0.46 eV per atom

Cell lengths 6.555, 6.555, 3.214 Å; angles 90.00, 90.00, 90.00 degrees
Positions (direct):
Y 0.000 0.000 0.000
Y 0.500 0.500 0.000
Hf 0.158 0.342 0.500
Hf 0.342 0.842 0.500
Hf 0.658 0.158 0.500
Hf 0.842 0.658 0.500
N 0.149 0.649 0.000
N 0.351 0.149 0.000
N 0.649 0.851 0.000
N 0.851 0.351 0.000

Here is a geometry-optimized Y2HfN2 structure from Alexandria via LeMat-Bulk. Energies are from GGA-PBE.

Properties
* space group: No. 127
* total magnetic moment: 0.0 μB/cell
* polymorph energy (0 for the lowest one): 181 meV per atom
* final energy: -8.65 eV/atom
* N(E_F): 5.845 states/eV/f.u.
* formation energy (no corrections): -0.74 eV per atom

Cell lengths 6.629, 6.629, 3.549 Å; angles 90.00, 90.00, 90.00 degrees
Positions (direct):
Y 0.160 0.340 0.000
Y 0.340 0.840 0.000
Y 0.660 0.160 0.000
Y 0.840 0.660 0.000
Hf 0.000 0.000 0.500
Hf 0.500 0.500 0.500
N 0.176 0.676 0.500
N 0.324 0.176 0.500
N 0.676 0.824 0.500
N 0.824 0.324 0.500

Here is a geometry-optimized Y3HfN structure from Alexandria via LeMat-Bulk. Energies are from GGA-PBE.

Properties
* space group: No. 221
* total magnetic moment: 0.0 μB/cell
* polymorph energy (0 for the lowest one): 0 meV per atom
* final energy: -7.97 eV/atom
* N(E_F): 7.288 states/eV/f.u.
* formation energy (no corrections): -0.43 eV per atom

Cell lengths 4.868, 4.868, 4.868 Å; angles 90.00, 90.00, 90.00 degrees
Positions (direct):
Y 0.000 0.000 0.500
Y 0.000 0.500 0.000
Y 0.500 0.000 0.000
Hf 0.500 0.500 0.500
N 0.000 0.000 0.000

Here is a geometry-optimized YHf3Zr2N6 structure from Alexandria via LeMat-Bulk. Energies are from GGA-PBE.

Properties
* space group: No. 12
* total magnetic moment: 0.0 μB/cell
* final energy: -10.36 eV/atom
* N(E_F): 3.280 states/eV/f.u.
* formation energy (no corrections): -1.74 eV per atom

Cell lengths 7.316, 7.316, 6.586 Å; angles 103.48, 103.48, 25.65 degrees
Positions (direct):
Y 0.000 0.000 0.000
Hf 0.000 0.000 0.500
Hf 0.332 0.332 0.169
Hf 0.668 0.668 0.831
Zr 0.330 0.330 0.661
Zr 0.670 0.670 0.339
N 0.162 0.162 0.592
N 0.172 0.172 0.076
N 0.498 0.498 0.266
N 0.502 0.502 0.734
N 0.828 0.828 0.924
N 0.838 0.838 0.408

Here is a geometry-optimized YHf2ZrN structure from Alexandria via LeMat-Bulk. Energies are from GGA-PBE.

Properties
* space group: No. 123
* total magnetic moment: 0.0 μB/cell
* polymorph energy (0 for the lowest one): 0 meV per atom
* final energy: -9.27 eV/atom
* N(E_F): 3.324 states/eV/f.u.
* formation energy (no corrections): -0.62 eV per atom

Cell lengths 4.468, 4.468, 4.952 Å; angles 90.00, 90.00, 90.00 degrees
Positions (direct):
Y 0.000 0.000 0.000
Hf 0.000 0.500 0.500
Hf 0.500 0.000 0.500
Zr 0.500 0.500 0.000
N 0.000 0.000 0.500

Here is a geometry-optimized YHf2ZrN structure from Alexandria via LeMat-Bulk. Energies are from GGA-PBE.

Properties
* space group: No. 123
* total magnetic moment: 0.0 μB/cell
* polymorph energy (0 for the lowest one): 47 meV per atom
* final energy: -9.22 eV/atom
* N(E_F): 5.243 states/eV/f.u.
* formation energy (no corrections): -0.57 eV per atom

Cell lengths 4.547, 4.547, 4.760 Å; angles 90.00, 90.00, 90.00 degrees
Positions (direct):
Y 0.000 0.000 0.000
Hf 0.000 0.500 0.500
Hf 0.500 0.000 0.500
Zr 0.500 0.500 0.000
N 0.500 0.500 0.500

Here is a geometry-optimized YHfZr2N structure from Alexandria via LeMat-Bulk. Energies are from GGA-PBE.

Properties
* space group: No. 123
* total magnetic moment: 0.0 μB/cell
* polymorph energy (0 for the lowest one): 0 meV per atom
* final energy: -8.95 eV/atom
* N(E_F): 4.668 states/eV/f.u.
* formation energy (no corrections): -0.58 eV per atom

Cell lengths 4.724, 4.724, 4.469 Å; angles 90.00, 90.00, 90.00 degrees
Positions (direct):
Y 0.000 0.000 0.000
Hf 0.500 0.500 0.000
Zr 0.000 0.500 0.500
Zr 0.500 0.000 0.500
N 0.500 0.500 0.500

Here is a geometry-optimized YHfZr2N structure from Alexandria via LeMat-Bulk. Energies are from GGA-PBE.

Properties
* space group: No. 123
* total magnetic moment: 0.0 μB/cell
* polymorph energy (0 for the lowest one): 6 meV per atom
* final energy: -8.95 eV/atom
* N(E_F): 4.123 states/eV/f.u.
* formation energy (no corrections): -0.58 eV per atom

Cell lengths 4.559, 4.559, 4.851 Å; angles 90.00, 90.00, 90.00 degrees
Positions (direct):
Y 0.000 0.000 0.000
Hf 0.500 0.500 0.000
Zr 0.000 0.500 0.500
Zr 0.500 0.000 0.500
N 0.000 0.000 0.500

Here is a geometry-optimized Y2HfZrN4 structure from Alexandria via LeMat-Bulk. Energies are from GGA-PBE.

Properties
* space group: No. 10
* total magnetic moment: 0.0 μB/cell
* final energy: -9.83 eV/atom
* N(E_F): 3.239 states/eV/f.u.
* formation energy (no corrections): -1.74 eV per atom

Cell lengths 5.765, 3.331, 5.832 Å; angles 90.00, 109.27, 90.00 degrees
Positions (direct):
Y 0.000 0.000 0.000
Y 0.500 0.500 0.000
Hf 0.000 0.500 0.500
Zr 0.500 0.000 0.500
N 0.238 0.000 0.727
N 0.252 0.500 0.271
N 0.748 0.500 0.729
N 0.762 0.000 0.273

Here is a geometry-optimized Hf6Zn6N structure from Alexandria via LeMat-Bulk. Energies are from GGA-PBE.

Properties
* space group: No. 227
* total magnetic moment: 0.0 μB/cell
* final energy: -6.31 eV/atom
* N(E_F): 13.768 states/eV/f.u.
* formation energy (no corrections): -0.49 eV per atom

Cell lengths 8.479, 8.479, 8.479 Å; angles 60.00, 60.00, 60.00 degrees
Positions (direct):
Hf 0.064 0.064 0.686
Hf 0.064 0.686 0.064
Hf 0.064 0.686 0.686
Hf 0.314 0.314 0.936
Hf 0.314 0.936 0.314
Hf 0.314 0.936 0.936
Hf 0.686 0.064 0.064
Hf 0.686 0.064 0.686
Hf 0.686 0.686 0.064
Hf 0.936 0.314 0.314
Hf 0.936 0.314 0.936
Hf 0.936 0.936 0.314
Zn 0.000 0.500 0.500
Zn 0.293 0.293 0.293
Zn 0.293 0.293 0.622
Zn 0.293 0.622 0.293
Zn 0.378 0.707 0.707
Zn 0.500 0.000 0.500
Zn 0.500 0.500 0.000
Zn 0.500 0.500 0.500
Zn 0.622 0.293 0.293
Zn 0.707 0.378 0.707
Zn 0.707 0.707 0.378
Zn 0.707 0.707 0.707
N 0.125 0.125 0.125
N 0.875 0.875 0.875

Here is a geometry-optimized HfZnN structure from Alexandria via LeMat-Bulk. Energies are from GGA-PBE.

Properties
* space group: No. 139
* total magnetic moment: 0.0 μB/cell
* final energy: -7.42 eV/atom
* N(E_F): 1.060 states/eV/f.u.
* formation energy (no corrections): -0.90 eV per atom

Cell lengths 9.575, 9.575, 9.575 Å; angles 161.19, 161.19, 26.73 degrees
Positions (direct):
Hf 0.186 0.186 0.000
Hf 0.814 0.814 0.000
Zn 0.433 0.433 0.000
Zn 0.567 0.567 0.000
N 0.304 0.304 0.000
N 0.696 0.696 0.000

Here is a geometry-optimized Hf3ZnN structure from Alexandria via LeMat-Bulk. Energies are from GGA-PBE.

Properties
* space group: No. 12
* total magnetic moment: 0.0 μB/cell
* polymorph energy (0 for the lowest one): 63 meV per atom
* final energy: -8.72 eV/atom
* N(E_F): 1.621 states/eV/f.u.
* formation energy (no corrections): -0.83 eV per atom

Cell lengths 5.622, 5.622, 7.745 Å; angles 110.87, 110.87, 47.80 degrees
Positions (direct):
Hf 0.110 0.110 0.204
Hf 0.149 0.149 0.655
Hf 0.358 0.358 0.069
Hf 0.642 0.642 0.931
Hf 0.851 0.851 0.345
Hf 0.890 0.890 0.796
Zn 0.403 0.403 0.568
Zn 0.597 0.597 0.432
N 0.121 0.121 0.924
N 0.879 0.879 0.076

Here is a geometry-optimized Hf8ZnN2 structure from Alexandria via LeMat-Bulk. Energies are from GGA-PBE.

Properties
* space group: No. 12
* total magnetic moment: 0.0 μB/cell
* final energy: -9.21 eV/atom
* N(E_F): 10.182 states/eV/f.u.
* formation energy (no corrections): -0.34 eV per atom

Cell lengths 6.947, 6.947, 5.585 Å; angles 96.67, 96.67, 55.28 degrees
Positions (direct):
Hf 0.144 0.668 0.787
Hf 0.149 0.149 0.725
Hf 0.311 0.311 0.218
Hf 0.332 0.856 0.213
Hf 0.668 0.144 0.787
Hf 0.689 0.689 0.782
Hf 0.851 0.851 0.275
Hf 0.856 0.332 0.213
Zn 0.500 0.500 0.500
N 0.316 0.316 0.847
N 0.684 0.684 0.153

Here is a geometry-optimized Hf3Zn2N structure from Alexandria via LeMat-Bulk. Energies are from GGA-PBE.

Properties
* space group: No. 71
* total magnetic moment: 0.0 μB/cell
* polymorph energy (0 for the lowest one): 96 meV per atom
* final energy: -7.37 eV/atom
* N(E_F): 2.312 states/eV/f.u.
* formation energy (no corrections): -0.58 eV per atom

Cell lengths 7.111, 7.111, 7.111 Å; angles 154.48, 138.85, 49.05 degrees
Positions (direct):
Hf 0.000 0.000 0.000
Hf 0.386 0.386 0.000
Hf 0.614 0.614 0.000
Zn 0.195 0.695 0.500
Zn 0.805 0.305 0.500
N 0.500 0.000 0.500

Here is a geometry-optimized Hf3Zn2N structure from Alexandria via LeMat-Bulk. Energies are from GGA-PBE.

Properties
* space group: No. 213
* total magnetic moment: 0.0 μB/cell
* polymorph energy (0 for the lowest one): 0 meV per atom
* final energy: -7.47 eV/atom
* N(E_F): 5.531 states/eV/f.u.
* formation energy (no corrections): -0.68 eV per atom

Cell lengths 7.265, 7.265, 7.265 Å; angles 90.00, 90.00, 90.00 degrees
Positions (direct):
Hf 0.042 0.125 0.792
Hf 0.125 0.792 0.042
Hf 0.208 0.542 0.375
Hf 0.292 0.458 0.875
Hf 0.375 0.208 0.542
Hf 0.458 0.875 0.292
Hf 0.542 0.375 0.208
Hf 0.625 0.708 0.958
Hf 0.708 0.958 0.625
Hf 0.792 0.042 0.125
Hf 0.875 0.292 0.458
Hf 0.958 0.625 0.708
Zn 0.071 0.929 0.429
Zn 0.179 0.179 0.179
Zn 0.321 0.821 0.679
Zn 0.429 0.071 0.929
Zn 0.571 0.571 0.571
Zn 0.679 0.321 0.821
Zn 0.821 0.679 0.321
Zn 0.929 0.429 0.071
N 0.125 0.375 0.625
N 0.375 0.625 0.125
N 0.625 0.125 0.375
N 0.875 0.875 0.875

Here is a geometry-optimized Hf3ZnN structure from Alexandria via LeMat-Bulk. Energies are from GGA-PBE.

Properties
* space group: No. 221
* total magnetic moment: 0.0 μB/cell
* polymorph energy (0 for the lowest one): 136 meV per atom
* final energy: -8.65 eV/atom
* N(E_F): 2.758 states/eV/f.u.
* formation energy (no corrections): -0.76 eV per atom

Cell lengths 4.391, 4.391, 4.391 Å; angles 90.00, 90.00, 90.00 degrees
Positions (direct):
Hf 0.000 0.000 0.500
Hf 0.000 0.500 0.000
Hf 0.500 0.000 0.000
Zn 0.500 0.500 0.500
N 0.000 0.000 0.000